MnFe2W (GGA-PBE, relaxed); ΔH_f (0 K) = 0.11 eV/atom; polymorph energy (0 for the lowest one) = 69 meV/atom; M_tot = 2.09 μB per cell
1.0
4.470 0.005 0.000
1.525 4.201 0.000
-2.997 -2.103 2.563
Fe Mn W
2 1 1
Cartesian
2.997 2.103 0.000
0.000 0.000 0.000
0.763 2.101 1.282
2.235 0.002 1.282